A plane-wave DFT calculation with PBE was carried out for a geometry-optimized W3C2 structure.

ΔE_f = 0.19 eV/atom
D(E_F) = 3.029 states/eV/f.u.
space group = R-3m (166)
density = 16.1 Mg/m³

Lattice parameters (Å, degrees): 7.491 7.491 7.491 23.62 23.62 23.62
Fractional coordinates of all 5 atoms:
W 0.219 0.219 0.219
W 0.000 0.000 0.000
W 0.781 0.781 0.781
C 0.393 0.393 0.393
C 0.607 0.607 0.607